Here is a geometry-optimized Co2OsW structure from Alexandria. Energies are from PBE.

Structure (CIF):
```
data_Co2OsW
_chemical_formula_sum 'Co4 Os2 W2'
_cell_length_a 3.7111
_cell_length_b 3.7111
_cell_length_c 7.4382
_cell_angle_alpha 90.00
_cell_angle_beta 90.00
_cell_angle_gamma 90.00
_symmetry_space_group_name_H-M 'I 4/m m m'
_symmetry_Int_Tables_number 139
_symmetry_space_group_name_Hall '-I 4 2'
loop_
_atom_site_label
_atom_site_fract_x
_atom_site_fract_y
_atom_site_fract_z
_atom_site_occupancy
Co1 0.0000 0.5000 0.2500 1
Os1 0.0000 0.0000 0.0000 1
W1 0.0000 0.0000 0.5000 1
```

Computed properties:
Energy relative to the elements = 0.03 eV/atom
Polymorph energy (0 for the lowest one) = 0.0333 eV per atom